(1)
LaAs2SeS | the Alexandria database | GGA-PBE | relaxed; symmetry = P4/mmm; total magnetic moment = 0.00 μB/cell; energy relative to the lowest polymorph listed for this composition = 0.0000 eV per atom; energy relative to the elements, uncorrected = -0.317 eV/atom
1.0
4.898 0.000 0.000
0.000 4.898 0.000
0.000 0.000 4.916
La As Se S
1 2 1 1
Cartesian
0.000 0.000 0.000
0.000 2.449 2.458
2.449 0.000 2.458
2.449 2.449 0.000
2.449 2.449 2.458

=====

(2)
La6AsSe3S2 | the Alexandria database | GGA-PBE | relaxed; symmetry = C2/m; total magnetic moment = 0.00 μB/cell; energy relative to the elements, uncorrected = -2.003 eV/atom
1.0
9.329 -2.130 0.000
9.329 2.130 0.000
-2.031 0.000 8.346
La As Se S
6 1 3 2
Cartesian
-0.424 0.000 2.061
5.282 0.000 3.558
4.403 0.000 7.559
12.224 0.000 0.787
11.346 0.000 4.788
17.052 0.000 6.284
9.329 0.000 0.000
1.398 0.000 6.947
8.314 0.000 4.173
15.229 0.000 1.399
2.443 0.000 2.789
14.184 0.000 5.557

=====

(3)
La4AsSeS2 | the Alexandria database | GGA-PBE | relaxed; symmetry = P2/m; total magnetic moment = 0.00 μB/cell; energy relative to the elements, uncorrected = -1.995 eV/atom
1.0
7.360 0.000 0.000
0.000 4.249 0.000
-2.443 0.000 6.961
La As Se S
4 1 1 2
Cartesian
1.162 0.000 1.680
-0.057 2.124 5.230
4.974 2.124 1.730
3.755 0.000 5.281
3.680 0.000 0.000
2.458 2.124 3.480
-1.222 0.000 3.480
0.000 2.124 0.000

=====

(4)
LaAs2SeS | the Alexandria database | GGA-PBE | relaxed; symmetry = P4/mmm; total magnetic moment = 2.57 μB/cell; energy relative to the lowest polymorph listed for this composition = 1.0806 eV per atom; energy relative to the elements, uncorrected = 0.764 eV/atom
1.0
5.831 0.000 0.000
0.000 5.831 0.000
0.000 0.000 5.662
La As Se S
1 2 1 1
Cartesian
0.000 0.000 0.000
0.000 2.915 0.000
2.915 0.000 0.000
0.000 0.000 2.831
2.915 2.915 2.831

=====

(5)
La6As2Se3S | the Alexandria database | GGA-PBE | relaxed; symmetry = C2/m; total magnetic moment = 0.00 μB/cell; energy relative to the elements, uncorrected = -1.920 eV/atom
1.0
9.412 -2.153 0.000
9.412 2.153 0.000
-2.032 0.000 8.404
La As Se S
6 2 3 1
Cartesian
-0.464 0.000 2.014
5.382 0.000 3.539
4.492 0.000 7.683
12.301 0.000 0.721
11.410 0.000 4.865
17.257 0.000 6.390
2.443 0.000 2.788
14.349 0.000 5.616
1.464 0.000 7.007
8.396 0.000 4.202
15.329 0.000 1.397
9.412 0.000 0.000

=====

(6)
La4AsSe2S | the Alexandria database | GGA-PBE | relaxed; symmetry = P2/m; total magnetic moment = 0.00 μB/cell; energy relative to the elements, uncorrected = -1.961 eV/atom
1.0
7.413 0.000 0.000
0.000 4.283 0.000
-2.466 0.000 7.060
La As Se S
4 1 2 1
Cartesian
1.211 0.000 1.668
-0.022 2.142 5.369
4.969 2.142 1.691
3.736 0.000 5.392
3.706 0.000 0.000
-1.233 0.000 3.530
2.473 2.142 3.530
0.000 2.142 0.000

=====

(7)
La6As3SeS2 | the Alexandria database | GGA-PBE | relaxed; symmetry = C2/m; total magnetic moment = 0.00 μB/cell; energy relative to the elements, uncorrected = -1.873 eV/atom
1.0
9.362 -2.154 0.000
9.362 2.154 0.000
-1.926 0.000 8.356
La As Se S
6 3 1 2
Cartesian
-0.471 0.000 2.140
4.437 0.000 7.636
5.421 0.000 3.494
11.377 0.000 4.861
12.361 0.000 0.720
17.270 0.000 6.216
1.498 0.000 6.957
8.399 0.000 4.178
15.300 0.000 1.398
9.362 0.000 0.000
2.489 0.000 2.787
14.310 0.000 5.568

=====

(8)
La2AsSeS | the Alexandria database | GGA-PBE | relaxed; symmetry = P4/mmm; total magnetic moment = 0.00 μB/cell; energy relative to the elements, uncorrected = -1.035 eV/atom
1.0
5.536 0.000 0.000
0.000 5.536 0.000
0.000 0.000 4.602
La As Se S
2 1 1 1
Cartesian
0.000 2.768 0.000
2.768 0.000 0.000
0.000 0.000 2.301
2.768 2.768 2.301
0.000 0.000 0.000

=====

(9)
La6As2SeS3 | the Alexandria database | GGA-PBE | relaxed; symmetry = C2/m; total magnetic moment = 0.00 μB/cell; energy relative to the elements, uncorrected = -1.963 eV/atom
1.0
9.269 -2.131 0.000
9.269 2.131 0.000
-1.913 0.000 8.296
La As Se S
6 2 1 3
Cartesian
-0.440 0.000 1.999
5.317 0.000 3.465
4.437 0.000 7.586
12.187 0.000 0.710
11.307 0.000 4.831
17.064 0.000 6.297
1.480 0.000 6.898
15.145 0.000 1.398
8.312 0.000 4.148
2.443 0.000 2.770
9.269 0.000 0.000
14.181 0.000 5.526

=====

(10)
La8AsSe3S4 | the Alexandria database | GGA-PBE | relaxed; symmetry = R-3m; total magnetic moment = 0.00 μB/cell; energy relative to the elements, uncorrected = -2.043 eV/atom
1.0
4.239 2.447 6.956
-4.239 2.447 6.956
0.000 -4.895 6.956
La As Se S
8 1 3 4
Cartesian
-2.151 -1.242 12.075
0.000 0.000 5.087
0.000 -2.483 8.794
-2.151 1.242 8.794
2.151 -1.242 12.075
0.000 2.483 12.075
0.000 0.000 15.782
2.151 1.242 8.794
0.000 0.000 0.000
-2.119 -1.224 6.956
-2.119 1.224 13.912
0.000 2.447 6.956
-4.239 0.000 10.434
-2.119 1.224 3.478
2.119 1.224 3.478
0.000 0.000 10.434

=====

(11)
La6SiAs2S3 | the Alexandria database | GGA-PBE | relaxed; symmetry = C2/m; total magnetic moment = 0.00 μB/cell; energy relative to the elements, uncorrected = -1.738 eV/atom
1.0
9.317 -2.148 0.000
9.317 2.148 0.000
-1.881 0.000 8.326
La Si As S
6 1 2 3
Cartesian
-0.462 0.000 2.099
5.444 0.000 3.488
4.502 0.000 7.624
12.250 0.000 0.702
11.308 0.000 4.838
17.214 0.000 6.227
8.376 0.000 4.163
1.550 0.000 6.953
15.202 0.000 1.374
2.495 0.000 2.769
9.317 0.000 0.000
14.257 0.000 5.558

=====

(12)
La4SiAs2S | the Alexandria database | GGA-PBE | relaxed; symmetry = P2/m; total magnetic moment = 0.00 μB/cell; energy relative to the elements, uncorrected = -1.488 eV/atom
1.0
7.508 0.000 0.000
0.000 4.330 0.000
-2.497 0.000 7.087
La Si As S
4 1 2 1
Cartesian
1.236 0.000 1.780
0.009 2.165 5.303
5.002 2.165 1.784
3.775 0.000 5.308
-1.249 0.000 3.544
0.000 2.165 0.000
3.754 0.000 0.000
2.506 2.165 3.544

=====

(13)
LaSmAsS | the Alexandria database | GGA-PBE | relaxed; symmetry = R3m; total magnetic moment = 0.00 μB/cell; energy relative to the elements, uncorrected = -1.847 eV/atom
1.0
2.102 1.213 6.824
-2.102 1.213 6.824
0.000 -2.427 6.824
La Sm As S
1 1 1 1
Cartesian
0.000 0.000 0.000
0.000 0.000 10.203
0.000 0.000 5.045
0.000 0.000 15.399

=====

(14)
SrLaAsS | the Alexandria database | GGA-PBE | relaxed; symmetry = R3m; total magnetic moment = 0.00 μB/cell; energy relative to the elements, uncorrected = -1.794 eV/atom
1.0
2.180 1.259 7.084
-2.180 1.259 7.084
0.000 -2.517 7.084
Sr La As S
1 1 1 1
Cartesian
0.000 0.000 0.000
0.000 0.000 10.645
0.000 0.000 5.196
0.000 0.000 16.011

=====

(15)
LaTaAs2S | the Alexandria database | GGA-PBE | relaxed; symmetry = P4/mmm; total magnetic moment = 0.00 μB/cell; energy relative to the elements, uncorrected = 1.787 eV/atom
1.0
5.451 0.000 0.000
0.000 5.451 0.000
0.000 0.000 5.407
La Ta As S
1 1 2 1
Cartesian
0.000 0.000 0.000
0.000 0.000 2.704
0.000 2.725 0.000
2.725 0.000 0.000
2.725 2.725 2.704

=====

(16)
LaTcAs2S | the Alexandria database | GGA-PBE | relaxed; symmetry = P4/mmm; total magnetic moment = 0.00 μB/cell; energy relative to the elements, uncorrected = -0.441 eV/atom
1.0
4.703 0.000 0.000
0.000 4.703 0.000
0.000 0.000 5.170
La Tc As S
1 1 2 1
Cartesian
0.000 0.000 0.000
2.351 2.351 2.585
0.000 2.351 2.585
2.351 0.000 2.585
2.351 2.351 0.000

=====

(17)
La6Te3AsS2 | the Alexandria database | GGA-PBE | relaxed; symmetry = C2/m; total magnetic moment = 0.00 μB/cell; energy relative to the elements, uncorrected = -1.801 eV/atom
1.0
3.772 -6.531 0.000
3.772 6.531 0.000
-2.516 0.000 7.385
La Te As S
6 3 1 2
Cartesian
-0.018 2.203 5.792
1.225 0.000 1.581
-0.018 -2.203 5.792
5.045 2.203 1.592
3.803 0.000 5.803
5.045 -2.203 1.592
-1.258 0.000 3.692
2.514 2.153 3.692
2.514 -2.153 3.692
3.772 0.000 0.000
3.772 4.349 0.000
3.772 -4.349 0.000

=====

(18)
La8Te4As3S | the Alexandria database | GGA-PBE | relaxed; symmetry = R-3m; total magnetic moment = 0.00 μB/cell; energy relative to the elements, uncorrected = -1.702 eV/atom
1.0
4.406 2.544 7.443
-4.406 2.544 7.443
0.000 -5.087 7.443
La Te As S
8 4 3 1
Cartesian
0.000 0.000 5.382
-2.186 -1.262 12.802
0.000 -2.524 9.527
-2.186 1.262 9.527
2.186 -1.262 12.802
0.000 2.524 12.802
2.186 1.262 9.527
0.000 0.000 16.947
0.000 0.000 0.000
-2.203 -1.272 7.443
-2.203 1.272 14.886
0.000 2.544 7.443
-4.406 0.000 11.165
-2.203 1.272 3.722
2.203 1.272 3.722
0.000 0.000 11.165

=====

(19)
La6TeAs3S2 | the Alexandria database | GGA-PBE | relaxed; symmetry = C2/m; total magnetic moment = 0.00 μB/cell; energy relative to the elements, uncorrected = -1.787 eV/atom
1.0
9.464 -2.173 0.000
9.464 2.173 0.000
-1.979 0.000 8.471
La Te As S
6 1 3 2
Cartesian
-0.489 0.000 2.268
4.375 0.000 7.721
5.467 0.000 3.537
11.481 0.000 4.934
12.573 0.000 0.750
17.438 0.000 6.203
9.464 0.000 0.000
1.463 0.000 7.045
8.474 0.000 4.235
15.486 0.000 1.426
2.529 0.000 2.841
14.420 0.000 5.630

=====

(20)
LaTeAsS2 | the Alexandria database | GGA-PBE | relaxed; symmetry = P4/mmm; total magnetic moment = 0.00 μB/cell; energy relative to the elements, uncorrected = -0.340 eV/atom
1.0
5.054 0.000 0.000
0.000 5.054 0.000
0.000 0.000 5.273
La Te As S
1 1 1 2
Cartesian
0.000 0.000 0.000
2.527 2.527 2.636
2.527 2.527 0.000
0.000 2.527 2.636
2.527 0.000 2.636

=====

(21)
La6TeAs2S3 | the Alexandria database | GGA-PBE | relaxed; symmetry = C2/m; total magnetic moment = 0.00 μB/cell; energy relative to the elements, uncorrected = -1.879 eV/atom
1.0
9.364 -2.149 0.000
9.364 2.149 0.000
-1.928 0.000 8.414
La Te As S
6 1 2 3
Cartesian
-0.429 0.000 1.909
17.229 0.000 6.505
5.293 0.000 3.477
4.484 0.000 7.702
12.316 0.000 0.712
11.506 0.000 4.937
8.400 0.000 4.207
1.514 0.000 7.004
15.286 0.000 1.410
2.443 0.000 2.802
9.364 0.000 0.000
14.357 0.000 5.612

=====

(22)
La4Te2AsS | the Alexandria database | GGA-PBE | relaxed; symmetry = P2/m; total magnetic moment = 0.00 μB/cell; energy relative to the elements, uncorrected = -1.761 eV/atom
1.0
7.565 0.000 0.000
0.000 4.377 0.000
-2.531 0.000 7.419
La Te As S
4 2 1 1
Cartesian
1.231 0.000 1.601
-0.036 2.189 5.793
5.070 2.189 1.626
3.804 0.000 5.818
-1.265 0.000 3.709
2.517 2.189 3.709
3.783 0.000 0.000
0.000 2.189 0.000

=====

(23)
LaTl2AsS4 | the Alexandria database | GGA-PBE | relaxed; symmetry = Imma; total magnetic moment = 0.00 μB/cell; energy relative to the elements, uncorrected = -0.781 eV/atom
1.0
-4.086 4.329 5.949
4.086 -4.329 5.949
4.086 4.329 -5.949
La Tl As S
2 4 2 8
Cartesian
0.000 0.000 0.000
0.000 4.329 0.000
4.086 0.000 0.000
-2.043 2.164 2.975
0.000 0.000 5.949
2.043 2.164 2.975
2.043 2.164 -2.975
2.043 -2.164 2.975
4.086 3.923 -3.076
4.086 -0.406 3.076
1.868 2.164 -0.319
2.219 -2.164 5.630
1.868 6.493 0.319
2.219 2.164 6.268
0.000 4.734 2.873
0.000 0.406 9.025